[1]
Below is a geometry-optimized Cu2As structure, with properties calculated at the PBE-GGA level.

The value obtained for the formation energy from the elements is 0.15 eV/atom. The crystal system is tetragonal. Its spin magnetization is 0.0 μB per cell. The mass density comes out at 7.435 g/cm3.

It has space group I4/mcm (No. 140), with a = 4.971 Å, b = 4.971 Å, c = 7.303 Å, α = 90.00°, β = 90.00° and γ = 90.00°. The distinct sites, in fractional coordinates, are Cu at (0.184, 0.316, 0.000) and As at (0.000, 0.000, 0.250).

***

[2]
Below is a geometry-optimized HoLuMnCd structure, with properties calculated at the PBE-GGA level.

The value obtained for the formation energy from the elements is -0.01 eV/atom. The crystal system is cubic. Its spin magnetization is 12.5 μB per cell. The mass density comes out at 8.979 g/cm3.

It has space group F-43m (No. 216), with a = 7.213 Å, b = 7.213 Å, c = 7.213 Å, α = 90.00°, β = 90.00° and γ = 90.00°. The distinct sites, in fractional coordinates, are Ho at (0.000, 0.000, 0.000), Lu at (0.000, 0.000, 0.500), Mn at (0.250, 0.250, 0.250) and Cd at (0.250, 0.250, 0.750).

***

[3]
Below is a geometry-optimized AcTb2Dy3Y6 structure, with properties calculated at the PBE-GGA level.

The value obtained for the formation energy from the elements is 0.03 eV/atom. The crystal system is monoclinic. Its spin magnetization is 0.0 μB per cell. The mass density comes out at 6.594 g/cm3.

It has space group C2/m (No. 12), with a = 6.236 Å, b = 10.792 Å, c = 11.899 Å, α = 90.00°, β = 100.00° and γ = 90.00°. The distinct sites, in fractional coordinates, are Ac at (0.000, 0.000, 0.000), Tb at (0.000, 0.333, 0.000), Dy at (0.000, 0.167, 0.500), Dy at (0.000, 0.500, 0.500), Y at (0.247, 0.332, 0.746) and Y at (0.249, 0.500, 0.255).

***

What E_tot values result from the calculations? In sequence: -4.129 -4.811 -5.467 eV/atom.